1.
Compound: Ni6IrRh3
Source: Alexandria via LeMat-Bulk
Functional: PBE-GGA
Structure: relaxed

The structure in CIF format:
```
data_Ni6IrRh3
_chemical_formula_sum 'Ni12 Ir2 Rh6'
_cell_length_a 5.587
_cell_length_b 6.638
_cell_length_c 8.816
_cell_angle_alpha 90.00
_cell_angle_beta 129.01
_cell_angle_gamma 90.00
_space_group_name_H-M_alt 'P 1'
_space_group_IT_number 1
loop_
_space_group_symop_operation_xyz
'x,y,z'
loop_
_atom_site_label
_atom_site_type_symbol
_atom_site_fract_x
_atom_site_fract_y
_atom_site_fract_z
Ni1 Ni 0.096 0.118 0.132
Ni2 Ni 0.096 0.382 0.632
Ni3 Ni 0.126 0.195 0.873
Ni4 Ni 0.126 0.305 0.373
Ni5 Ni 0.332 0.622 0.369
Ni6 Ni 0.332 0.878 0.869
Ni7 Ni 0.668 0.122 0.131
Ni8 Ni 0.668 0.378 0.631
Ni9 Ni 0.874 0.695 0.627
Ni10 Ni 0.874 0.805 0.127
Ni11 Ni 0.904 0.618 0.368
Ni12 Ni 0.904 0.882 0.868
Ir1 Ir 0.500 0.000 0.500
Ir2 Ir 0.500 0.500 0.000
Rh1 Rh 0.000 0.000 0.500
Rh2 Rh 0.000 0.500 0.000
Rh3 Rh 0.439 0.674 0.687
Rh4 Rh 0.439 0.826 0.187
Rh5 Rh 0.561 0.174 0.813
Rh6 Rh 0.561 0.326 0.313
```


2.
Compound: NiIrRh2
Source: Alexandria via LeMat-Bulk
Functional: PBE-GGA
Structure: relaxed

The structure in CIF format:
```
data_NiIrRh2
_chemical_formula_sum 'Ni1 Ir1 Rh2'
_cell_length_a 5.230
_cell_length_b 5.230
_cell_length_c 5.230
_cell_angle_alpha 149.77
_cell_angle_beta 129.52
_cell_angle_gamma 59.97
_space_group_name_H-M_alt 'P 1'
_space_group_IT_number 1
loop_
_space_group_symop_operation_xyz
'x,y,z'
loop_
_atom_site_label
_atom_site_type_symbol
_atom_site_fract_x
_atom_site_fract_y
_atom_site_fract_z
Ni1 Ni 0.000 0.000 0.000
Ir1 Ir 0.772 0.272 0.500
Rh1 Rh 0.233 0.733 0.500
Rh2 Rh 0.508 0.508 0.000
```


Taking the records one at a time from the top gives polymorph energy (0 for the lowest one) values of 26, 174 meV per atom.
Taking the records one at a time from the top gives calculated formation energy values of 0.2052, 0.1763 eV/atom.